No. 1
# ScZnNiRh

A relaxed structure of ScZnNiRh (PBE, the Alexandria database).

Structure (extended XYZ):
```
4
Lattice="-1.915 -1.123 3.747 -0.202 -4.190 1.173 2.408 -1.448 3.328" Properties=species:S:1:pos:R:3 pbc="T T T"
Sc 0.073 -1.690 2.062
Ni 0.000 0.000 0.000
Zn 0.218 -5.070 6.187
Rh 0.145 -3.380 4.124
```

Summary:
Energy of formation from the pure elements   -0.595 eV/atom
Magnetic moment   0.000 μB/atom
Final energy   -5.78 eV/atom

=====

No. 2
# Sc4ZnNi2Rh

A relaxed structure of Sc4ZnNi2Rh (PBE, the Alexandria database).

Structure (extended XYZ):
```
8
Lattice="-0.493 -4.443 -0.941 2.995 -2.101 -2.736 5.055 -3.908 4.721" Properties=species:S:1:pos:R:3 pbc="T T T"
Sc 5.327 -5.860 2.705
Sc 4.110 -7.202 -1.410
Sc 3.446 -3.250 2.455
Sc 2.229 -4.592 -1.660
Zn 0.000 0.000 0.000
Ni 5.668 -7.839 0.784
Ni 1.889 -2.613 0.261
Rh 3.778 -5.226 0.522
```

Summary:
Energy of formation from the pure elements   -0.590 eV/atom
Magnetic moment   0.000 μB/atom
Final energy   -6.28 eV/atom

=====

No. 3
# Sc2ZnNi2Rh5

A relaxed structure of Sc2ZnNi2Rh5 (PBE, the Alexandria database).

Structure (extended XYZ):
```
20
Lattice="-1.722 3.300 0.940 -2.790 0.926 -8.362 -7.414 -4.434 1.983" Properties=species:S:1:pos:R:3 pbc="T T T"
Sc -3.133 -0.135 -5.268
Sc -7.071 -3.374 -1.112
Sc -2.919 -1.304 -0.771
Sc -7.285 -2.204 -5.608
Zn 0.000 0.000 0.000
Zn -5.102 -1.754 -3.190
Ni -5.005 -2.664 0.180
Ni -5.199 -0.845 -6.559
Ni -8.221 -3.289 -3.515
Ni -1.983 -0.219 -2.865
Rh -1.967 1.514 -1.081
Rh -9.959 -1.723 -4.359
Rh -6.976 -1.818 1.441
Rh -5.988 0.407 -4.559
Rh -4.951 1.610 -6.881
Rh -5.938 -0.615 -0.880
Rh -7.669 -0.936 -2.927
Rh -4.257 0.727 -2.512
Rh -2.256 2.113 -3.711
Rh -4.568 -0.567 1.461
```

Summary:
Energy of formation from the pure elements   -0.458 eV/atom
Magnetic moment   0.000 μB/atom
Final energy   -6.68 eV/atom

=====

No. 4
# ZrScNiRh

A relaxed structure of ZrScNiRh (PBE, the Alexandria database).

Structure (extended XYZ):
```
4
Lattice="4.587 0.000 0.000 2.294 3.973 0.000 2.294 1.324 3.746" Properties=species:S:1:pos:R:3 pbc="T T T"
Sc 4.587 2.648 1.873
Ni 2.294 1.324 0.936
Rh 6.881 3.973 2.809
Zr 0.000 0.000 0.000
```

Summary:
Energy of formation from the pure elements   -0.643 eV/atom
Magnetic moment   0.000 μB/atom
Final energy   -7.65 eV/atom

=====

No. 5
# Ni2RhSe

A relaxed structure of Ni2RhSe (PBE, the Alexandria database).

Structure (extended XYZ):
```
4
Lattice="2.971 0.000 0.000 0.000 3.363 0.000 0.000 0.000 5.312" Properties=species:S:1:pos:R:3 pbc="T T T"
Ni 0.000 0.000 5.282
Ni 0.000 0.000 2.685
Rh 1.485 1.681 1.328
Se 1.485 1.681 3.984
```

Summary:
Magnetic moment   0.000 μB/atom
ΔE_f (raw)   0.13 eV/atom
Final energy   -5.47 eV/atom
Polymorph energy (0 for the lowest one)   0.057 eV per atom

=====

No. 6
# NiRh2Se

A relaxed structure of NiRh2Se (PBE, the Alexandria database).

Structure (extended XYZ):
```
4
Lattice="2.771 -0.010 0.000 -1.350 2.420 0.000 0.000 0.000 8.726" Properties=species:S:1:pos:R:3 pbc="T T T"
Ni 0.710 1.205 6.514
Rh 0.000 0.000 8.639
Rh 0.710 1.205 2.186
Se 0.000 0.000 4.477
```

Summary:
Magnetic moment   0.001 μB/atom
ΔE_f (raw)   0.35 eV/atom
Final energy   -5.64 eV/atom
Polymorph energy (0 for the lowest one)   0.272 eV per atom

=====

No. 7
# NiRh2Se6

A relaxed structure of NiRh2Se6 (PBE, the Alexandria database).

Structure (extended XYZ):
```
18
Lattice="-0.863 5.454 1.216 -4.446 0.074 -3.492 -6.913 -3.042 8.737" Properties=species:S:1:pos:R:3 pbc="T T T"
Ni -2.655 2.764 -1.138
Ni -3.456 -1.521 4.369
Rh -4.972 1.744 1.791
Rh -7.250 0.742 4.670
Rh -1.139 -0.501 1.439
Rh -5.774 -2.540 7.298
Se -4.787 3.312 -0.141
Se -9.441 1.264 5.741
Se -7.184 2.360 2.771
Se -1.587 4.367 0.265
Se -3.867 3.414 3.267
Se -6.126 2.420 6.122
Se -6.096 0.067 0.338
Se -8.355 -0.927 3.194
Se -3.723 1.161 -2.541
Se -5.039 0.127 3.690
Se -2.781 1.223 0.719
Se -7.435 -0.825 6.601
```

Summary:
Magnetic moment   0.000 μB/atom
ΔE_f (raw)   -0.13 eV/atom
Final energy   -4.73 eV/atom
Polymorph energy (0 for the lowest one)   0.168 eV per atom

=====

No. 8
# Ni2RhSe

A relaxed structure of Ni2RhSe (PBE, the Alexandria database).

Structure (extended XYZ):
```
4
Lattice="-6.515 -0.013 -4.308 -4.808 -1.690 -5.918 -6.269 -2.822 -3.705" Properties=species:S:1:pos:R:3 pbc="T T T"
Ni -0.032 -0.008 -0.026
Ni -4.463 -1.148 -3.534
Rh -8.789 -2.261 -6.959
Se -13.105 -3.371 -10.376
```

Summary:
Magnetic moment   0.202 μB/atom
ΔE_f (raw)   0.23 eV/atom
Final energy   -5.37 eV/atom
Polymorph energy (0 for the lowest one)   0.158 eV per atom

=====

No. 9
# Ni2RhSe

A relaxed structure of Ni2RhSe (PBE, the Alexandria database).

Structure (extended XYZ):
```
4
Lattice="-1.716 0.842 3.756 0.418 -2.745 3.170 2.471 0.934 3.284" Properties=species:S:1:pos:R:3 pbc="T T T"
Ni 0.000 0.000 0.000
Ni 0.293 -0.242 2.552
Rh 0.587 -0.485 5.105
Se 0.880 -0.727 7.657
```

Summary:
Magnetic moment   0.000 μB/atom
ΔE_f (raw)   0.15 eV/atom
Final energy   -5.45 eV/atom
Polymorph energy (0 for the lowest one)   0.073 eV per atom

=====

No. 10
# NiRhSe2

A relaxed structure of NiRhSe2 (PBE, the Alexandria database).

Structure (extended XYZ):
```
4
Lattice="0.389 -5.901 4.542 2.589 -6.774 1.738 3.824 -4.616 4.436" Properties=species:S:1:pos:R:3 pbc="T T T"
Ni 0.000 0.000 0.000
Rh 3.401 -8.645 5.358
Se 6.089 -15.479 9.593
Se 0.713 -1.811 1.123
```

Summary:
Magnetic moment   0.205 μB/atom
ΔE_f (raw)   -0.05 eV/atom
Final energy   -5.08 eV/atom

=====

No. 11
# Ni5RhSe8

A relaxed structure of Ni5RhSe8 (PBE, the Alexandria database).

Structure (extended XYZ):
```
14
Lattice="6.169 0.000 3.562 2.056 5.817 3.562 0.000 0.000 7.124" Properties=species:S:1:pos:R:3 pbc="T T T"
Ni 0.000 0.000 0.000
Ni 5.148 3.640 5.331
Ni 5.148 3.640 8.917
Ni 2.042 3.640 7.124
Ni 4.113 0.712 7.124
Rh 2.056 1.454 3.562
Se 4.113 4.883 7.124
Se 5.975 2.250 7.124
Se 3.182 2.250 5.512
Se 3.182 2.250 8.736
Se 7.126 5.039 9.028
Se 4.256 5.039 10.686
Se 7.126 5.039 12.343
Se 6.169 2.332 10.686
```

Summary:
Magnetic moment   0.000 μB/atom
ΔE_f (raw)   -0.30 eV/atom
Final energy   -4.88 eV/atom

=====

No. 12
# NiRh2Se4

A relaxed structure of NiRh2Se4 (PBE, the Alexandria database).

Structure (extended XYZ):
```
7
Lattice="6.425 0.004 0.020 5.347 3.562 0.020 3.012 0.913 5.584" Properties=species:S:1:pos:R:3 pbc="T T T"
Ni 0.000 0.000 0.000
Rh 5.267 1.596 4.016
Rh 9.518 2.883 1.608
Se 7.284 2.207 5.457
Se 7.501 2.272 0.167
Se 3.035 0.919 3.089
Se 11.750 3.560 2.534
```

Summary:
Magnetic moment   0.000 μB/atom
ΔE_f (raw)   -0.34 eV/atom
Final energy   -5.26 eV/atom
Polymorph energy (0 for the lowest one)   0.060 eV per atom